First-principles (PBE with a Hubbard U) data for a relaxed CoPtSO crystal, as listed in the Open Quantum Materials Database.

- Relative energy among the computed polymorphs: 0.603 eV/atom
- Space group: P4/nmm

Cell lengths 3.8112, 3.8112, 7.7956 Å; angles 90.00, 90.00, 90.00 degrees
Closest atoms and distances in Å follow each position.
Fractional positions:
O 0.2500 0.2500 0.4839  1 S 1.51
O 0.7500 0.7500 0.5161  1 S 1.51
S 0.2500 0.2500 0.2899  1 O 1.51
S 0.7500 0.7500 0.7101  1 O 1.51
Pt 0.7500 0.7500 0.2271  1 O 2.25
Pt 0.2500 0.2500 0.7729  1 O 2.25
Co 0.2500 0.7500 0.0000  4 Pt 2.60, 4 Co 2.69
Co 0.7500 0.2500 0.0000  4 Pt 2.60, 4 Co 2.69